No. 1
! PBE Ac6Ru2NCl3, relaxed; values from VASP
&SYSTEM
  ibrav = 0, nat = 12, ntyp = 4
/
ATOMIC_SPECIES
Ac 227.00 Ac.upf
Ru 101.07 Ru.upf
N 14.01 N.upf
Cl 35.45 Cl.upf
ATOMIC_POSITIONS angstrom
Ac 1.139 1.981 1.569
Ac -0.160 0.000 6.421
Ac 1.139 -1.981 1.569
Ac 3.635 1.981 6.403
Ac 4.935 0.000 1.552
Ac 3.635 -1.981 6.403
Ru 3.595 2.077 0.000
Ru 3.595 -2.077 0.000
N 0.000 0.000 0.000
Cl 2.387 4.068 3.986
Cl 2.387 0.000 3.986
Cl 2.387 -4.068 3.986
CELL_PARAMETERS angstrom
3.595 -6.254 0.000
3.595 6.254 0.000
-2.415 0.000 7.972
! - Crystal system: monoclinic
! - Raw formation energy: -12.85 eV per formula unit
! - Electronic total energy: -5.827 eV/atom
! - V: 358.5 Å³/cell



No. 2
! PBE Ac8Ru3NCl3, relaxed; values from VASP
&SYSTEM
  ibrav = 0, nat = 15, ntyp = 4
/
ATOMIC_SPECIES
Ac 227.00 Ac.upf
Ru 101.07 Ru.upf
N 14.01 N.upf
Cl 35.45 Cl.upf
ATOMIC_POSITIONS angstrom
Ac -0.120 0.000 5.510
Ac 3.700 2.202 5.510
Ac 6.032 2.202 2.473
Ac 2.427 0.000 2.303
Ac 7.305 0.000 5.680
Ac 3.700 -2.202 5.510
Ac 6.032 -2.202 2.473
Ac 9.852 0.000 2.473
Ru 1.210 2.111 3.991
Ru 1.210 -2.111 3.991
Ru 4.866 0.000 3.991
N -2.445 0.000 3.991
Cl 0.000 0.000 0.000
Cl 3.656 2.111 0.000
Cl 3.656 -2.111 0.000
CELL_PARAMETERS angstrom
7.311 -4.223 0.000
7.311 4.223 0.000
-4.890 0.000 7.983
! - Crystal system: monoclinic
! - Raw formation energy: -12.57 eV per formula unit
! - Electronic total energy: -5.809 eV/atom
! - V: 492.9 Å³/cell



No. 3
! PBE Ac4RuNCl2, relaxed; values from VASP
&SYSTEM
  ibrav = 0, nat = 8, ntyp = 4
/
ATOMIC_SPECIES
Ac 227.00 Ac.upf
Ru 101.07 Ru.upf
N 14.01 N.upf
Cl 35.45 Cl.upf
ATOMIC_POSITIONS angstrom
Ac 1.140 0.000 1.541
Ac -0.227 2.060 6.341
Ac 4.950 2.060 1.540
Ac 3.583 0.000 6.340
Ru 3.541 0.000 0.000
N 0.000 2.060 0.000
Cl -1.179 0.000 3.941
Cl 2.362 2.060 3.941
CELL_PARAMETERS angstrom
7.082 0.000 0.000
0.000 4.120 0.000
-2.359 0.000 7.881
! - Crystal system: monoclinic
! - Raw formation energy: -8.84 eV per formula unit
! - Electronic total energy: -5.821 eV/atom
! - V: 230.0 Å³/cell



No. 4
! PBE Ac8Ru3NCl4, relaxed; values from VASP
&SYSTEM
  ibrav = 0, nat = 16, ntyp = 4
/
ATOMIC_SPECIES
Ac 227.00 Ac.upf
Ru 101.07 Ru.upf
N 14.01 N.upf
Cl 35.45 Cl.upf
ATOMIC_POSITIONS angstrom
Ac -0.094 0.000 5.540
Ac 3.682 2.185 5.538
Ac 6.003 2.185 2.470
Ac 2.420 0.000 2.303
Ac 7.264 0.000 5.705
Ac 3.682 -2.185 5.538
Ac 6.003 -2.185 2.470
Ac 9.779 0.000 2.468
Ru 1.208 2.098 4.004
Ru 1.208 -2.098 4.004
Ru 4.842 0.000 4.004
N -2.426 0.000 4.004
Cl 0.000 0.000 0.000
Cl 3.634 2.098 0.000
Cl 3.634 -2.098 0.000
Cl 7.268 0.000 0.000
CELL_PARAMETERS angstrom
7.268 -4.195 0.000
7.268 4.195 0.000
-4.853 0.000 8.008
! - Crystal system: monoclinic
! - Raw formation energy: -16.54 eV per formula unit
! - Electronic total energy: -5.809 eV/atom
! - V: 488.4 Å³/cell



No. 5
! PBE Ac4Sb2N2Cl, relaxed; values from VASP
&SYSTEM
  ibrav = 0, nat = 9, ntyp = 4
/
ATOMIC_SPECIES
Ac 227.00 Ac.upf
Sb 121.76 Sb.upf
N 14.01 N.upf
Cl 35.45 Cl.upf
ATOMIC_POSITIONS angstrom
Ac -0.262 0.000 1.944
Ac 3.554 0.000 2.583
Ac 9.609 0.000 5.022
Ac 13.425 0.000 5.662
Sb 3.339 0.000 7.370
Sb 9.824 0.000 0.236
N 1.331 0.000 3.698
N 11.832 0.000 3.908
Cl 6.582 0.000 3.803
CELL_PARAMETERS angstrom
8.005 -2.211 0.000
8.005 2.211 0.000
-2.847 0.000 7.606
! - Crystal system: monoclinic
! - Raw formation energy: -11.64 eV per formula unit
! - Electronic total energy: -6.091 eV/atom
! - V: 269.3 Å³/cell



No. 6
! PBE Ac2SeNCl2, relaxed; values from VASP
&SYSTEM
  ibrav = 0, nat = 12, ntyp = 4
/
ATOMIC_SPECIES
Ac 227.00 Ac.upf
Se 78.96 Se.upf
N 14.01 N.upf
Cl 35.45 Cl.upf
ATOMIC_POSITIONS angstrom
Ac 0.000 1.037 0.000
Ac 0.000 7.669 3.857
Ac 2.264 2.498 3.335
Ac 2.264 6.208 7.192
Se 2.264 0.349 5.556
Se 2.264 8.357 1.700
N 0.000 1.512 2.804
N 0.000 7.194 6.661
Cl 0.000 3.315 5.542
Cl 0.000 5.391 1.686
Cl 2.264 3.093 0.399
Cl 2.264 5.612 4.255
CELL_PARAMETERS angstrom
4.527 0.000 0.000
0.000 8.706 0.000
0.000 0.000 7.713
! - Crystal system: orthorhombic
! - Raw formation energy: -10.59 eV per formula unit
! - Electronic total energy: -5.719 eV/atom
! - V: 304.0 Å³/cell